Entry 1:
VASP calculation (PBE) on a geometry-optimized PaNi6 structure.

Summary:
E_tot, eV per cell: -36.4
Energy above the most stable polymorph in this dataset, meV per atom: 1385
Space group: Pm-3m (221)
Crystal system: cubic
Total moment, μB/f.u.: 2.3
Calculated formation energy, kJ/mol of formula units: 750

abc: 5.263 5.263 5.263
angles: 90.00 90.00 90.00
Fractional positions:
Pa 0.000 0.000 0.000
Ni 0.196 0.500 0.500
Ni 0.500 0.196 0.500
Ni 0.500 0.500 0.196
Ni 0.500 0.500 0.804
Ni 0.500 0.804 0.500
Ni 0.804 0.500 0.500


Entry 2:
VASP calculation (PBE) on a geometry-optimized ReBr structure.

Summary:
E_tot, eV per cell: -49.7
Energy above the most stable polymorph in this dataset, meV per atom: 612
Space group: Pnma (62)
Crystal system: orthorhombic
Formation energy from raw total energies, eV per atom: 0.84
Total moment, μB/f.u.: 0.0

abc: 6.581 3.239 9.416
angles: 90.00 90.00 90.00
Fractional positions:
Re 0.045 0.250 0.081
Re 0.455 0.750 0.581
Re 0.545 0.250 0.419
Re 0.955 0.750 0.919
Br 0.124 0.250 0.678
Br 0.376 0.750 0.178
Br 0.624 0.250 0.822
Br 0.876 0.750 0.322


Entry 3:
VASP calculation (PBE) on a geometry-optimized CaLa6Y4 structure.

Summary:
E_tot, eV per cell: -55.6
Space group: P-6m2 (187)
Crystal system: hexagonal
Total moment, μB/f.u.: 0.0
Calculated formation energy, kJ/mol of formula units: 175

abc: 11.355 11.355 3.661
angles: 90.00 90.00 120.00
Fractional positions:
Ca 0.000 0.000 0.000
La 0.181 0.362 0.500
La 0.181 0.819 0.500
La 0.518 0.037 0.000
La 0.518 0.482 0.000
La 0.638 0.819 0.500
La 0.963 0.482 0.000
Y 0.333 0.667 0.000
Y 0.334 0.167 0.500
Y 0.833 0.167 0.500
Y 0.833 0.666 0.500


Entry 4:
VASP calculation (PBE) on a geometry-optimized LiReTe2 structure.

Summary:
E_tot, eV per cell: -60.4
Energy above the most stable polymorph in this dataset, meV per atom: 95
Space group: R-3m (166)
Crystal system: trigonal
Formation energy from raw total energies, eV per atom: 0.13
Total moment, μB/f.u.: 2.0

abc: 3.972 3.972 24.999
angles: 90.00 90.00 120.00
Fractional positions:
Li 0.000 0.000 0.000
Li 0.333 0.667 0.667
Li 0.667 0.333 0.333
Re 0.000 0.000 0.500
Re 0.333 0.667 0.167
Re 0.667 0.333 0.833
Te 0.000 0.000 0.106
Te 0.000 0.000 0.894
Te 0.333 0.667 0.560
Te 0.333 0.667 0.773
Te 0.667 0.333 0.227
Te 0.667 0.333 0.440


Entry 5:
VASP calculation (PBE) on a geometry-optimized CdHgAs2 structure.

Summary:
E_tot, eV per cell: -20.6
Energy above the most stable polymorph in this dataset, meV per atom: 33
Space group: Cm (8)
Crystal system: monoclinic
Total moment, μB/f.u.: 0.0
Calculated formation energy, kJ/mol of formula units: 21

abc: 8.317 3.708 6.747
angles: 90.00 106.27 90.00
Fractional positions:
Cd 0.000 0.000 0.000
Cd 0.500 0.500 0.000
Hg 0.193 0.000 0.720
Hg 0.693 0.500 0.720
As 0.282 0.500 0.226
As 0.400 0.000 0.476
As 0.782 0.000 0.226
As 0.900 0.500 0.476


Entry 6:
VASP calculation (PBE) on a geometry-optimized Rb2OsWCl6 structure.

Summary:
E_tot, eV per cell: -42.6
Space group: I4/mmm (139)
Crystal system: tetragonal
Formation energy from raw total energies, eV per atom: -0.54
Total moment, μB/f.u.: 4.0

abc: 7.041 7.041 7.041
angles: 114.65 114.65 99.55
Fractional positions:
Rb 0.250 0.750 0.500
Rb 0.750 0.250 0.500
Os 0.000 0.000 0.000
W 0.500 0.500 0.000
Cl 0.246 0.246 0.000
Cl 0.268 0.268 0.536
Cl 0.268 0.732 0.000
Cl 0.732 0.268 0.000
Cl 0.732 0.732 0.464
Cl 0.754 0.754 0.000


Which formula does entry 3 have?
CaLa6Y4


What is the formula in the sixth record?
Rb2OsWCl6


total moment of number 5 (CdHgAs2)?
0.0 μB/f.u.